VASP calculation (PBE with a Hubbard U) on a geometry-optimized Sc2VTcO structure.

a b c (Å): 4.3376 4.2187 4.3376
angles (deg): 90.00 90.00 90.00
With the nearest neighbours (Å) after each atom.
Fractional coordinates of all 5 atoms:
Sc1 0.5000 0.0000 0.0000  2 O 2.17
O1 0.0000 0.0000 0.0000  2 Tc 2.11, 4 Sc 2.17
Sc2 0.0000 0.0000 0.5000  2 O 2.17
Tc1 0.0000 0.5000 0.0000  2 O 2.11
V1 0.5000 0.5000 0.5000  8 Sc 3.03, 4 Tc 3.07

Values from the calculation:
Symmetry: P4/mmm, No. 123
Total magnetization (μB/f.u.): 2.6
Total energy (eV/atom): -7.700